# 1
Entry from OQMD via LeMat-Bulk: a geometry-optimized Lu4Nb2Pb3N3 structure (PBE).

Geometry as POSCAR:
```
Lu4Nb2Pb3N3
1.0
5.898 0.000 0.000
2.921 5.125 0.000
2.862 1.662 14.608
Lu N Nb Pb
8 6 4 6
Cartesian
2.457 0.870 1.235
8.337 4.252 1.235
2.427 0.819 6.069
8.279 4.252 6.069
3.403 2.535 8.539
9.254 5.968 8.540
3.344 2.535 13.373
9.225 5.917 13.373
4.419 0.807 0.000
1.461 2.562 0.000
4.400 4.318 0.000
7.360 2.516 7.303
4.380 0.831 7.304
4.321 4.271 7.305
5.330 2.563 1.079
5.385 2.594 6.225
6.297 4.193 8.383
6.352 4.224 13.529
6.294 4.158 3.645
6.310 0.938 3.652
3.521 2.547 3.659
8.160 4.240 10.950
5.371 5.849 10.956
5.387 2.629 10.963
```

## Properties
- total DFT energy (no corrections) (eV/cell) = -170.020
- size of the total moment (μB per formula unit) = 0.0
- crystal system = monoclinic

=====

# 2
Entry from OQMD via LeMat-Bulk: a geometry-optimized Lu3Nb2Re3N12 structure (PBE).

Geometry as POSCAR:
```
Lu3Nb2Re3N12
1.0
-6.315 6.315 6.315
6.315 -6.315 6.315
6.315 6.315 -6.315
Lu N Nb Re
12 48 8 12
Cartesian
1.579 0.000 3.157
3.157 -1.579 6.315
0.000 3.157 1.579
0.000 3.157 7.894
-1.579 6.315 3.157
3.157 1.579 0.000
3.158 4.736 6.315
7.894 0.000 3.157
6.315 3.157 -1.579
6.315 3.158 4.736
3.157 7.894 0.000
4.736 6.315 3.158
-0.394 0.737 1.939
3.895 -3.551 7.534
-2.420 3.551 7.534
0.394 0.737 8.254
-0.737 1.939 5.921
-1.219 2.420 9.866
1.939 -0.394 0.737
2.764 -1.219 8.735
1.939 0.394 5.578
3.551 -1.219 3.895
0.737 1.939 -0.394
-1.219 3.895 3.551
1.219 2.420 3.551
5.578 -1.939 5.921
-3.551 7.534 3.895
-1.939 5.921 5.578
3.551 1.219 2.420
4.376 0.394 7.052
0.737 4.376 5.921
7.534 -2.420 3.551
5.921 -0.737 1.939
2.420 2.764 7.534
0.394 5.578 1.939
2.420 3.551 1.219
3.895 2.764 5.096
5.921 0.737 4.376
3.895 3.551 -1.219
0.394 7.052 4.376
5.578 1.939 0.394
-1.219 8.735 2.764
1.939 5.921 -0.737
2.764 5.096 3.895
8.254 0.394 0.737
9.866 -1.219 2.420
0.737 8.254 0.394
5.096 3.895 2.764
7.534 2.420 2.764
5.578 4.376 6.709
4.376 5.921 0.737
2.764 7.534 2.420
3.551 7.534 -2.420
4.376 6.709 5.578
7.052 4.376 0.394
7.534 3.895 -3.551
5.921 5.578 -1.939
8.735 2.764 -1.219
2.420 9.866 -1.219
6.709 5.578 4.376
0.000 0.000 0.000
-3.158 3.158 3.158
3.158 -3.158 3.158
0.000 0.000 6.315
3.158 3.158 -3.158
0.000 6.315 0.000
6.315 0.000 0.000
3.158 3.158 3.158
-3.158 4.736 6.315
1.579 0.000 9.472
0.000 3.157 4.736
6.315 -3.158 4.736
4.736 0.000 3.157
3.157 1.579 6.315
3.157 4.736 0.000
1.579 6.315 3.157
0.000 9.472 1.579
6.315 3.157 1.579
4.736 6.315 -3.158
9.472 1.579 0.000
```

## Properties
- total DFT energy (no corrections) (eV/cell) = -739.738
- size of the total moment (μB per formula unit) = 0.4
- crystal system = cubic

=====

# 3
Entry from OQMD via LeMat-Bulk: a geometry-optimized Lu2Nb4S3N3 structure (PBE).

Geometry as POSCAR:
```
Lu2Nb4S3N3
1.0
5.041 -2.945 0.000
5.041 2.945 0.000
-3.231 0.000 11.672
Lu N Nb S
4 6 8 6
Cartesian
4.183 -0.497 1.242
4.283 -0.497 4.594
2.567 0.497 7.079
2.668 0.497 10.430
2.521 -1.472 0.000
4.254 1.383 0.003
4.212 1.383 5.833
0.905 1.472 5.836
2.638 -1.383 5.840
2.597 -1.383 11.669
0.862 -0.398 1.029
7.655 -0.513 1.031
0.812 -0.513 4.805
7.605 -0.398 4.807
-0.754 0.398 6.865
6.039 0.513 6.868
-0.804 0.513 10.641
5.989 0.398 10.644
6.024 0.590 2.895
4.233 -2.574 2.918
2.442 0.590 2.941
4.409 -0.590 8.732
2.618 2.574 8.754
0.826 -0.590 8.777
```

## Properties
- total DFT energy (no corrections) (eV/cell) = -203.312
- size of the total moment (μB per formula unit) = 0.0
- crystal system = monoclinic

=====

# 4
Entry from OQMD via LeMat-Bulk: a geometry-optimized Lu2Nb4Sb3N3 structure (PBE).

Geometry as POSCAR:
```
Lu2Nb4Sb3N3
1.0
5.112 -2.994 0.000
5.112 2.994 0.000
-3.398 0.000 13.215
Lu N Nb Sb
4 6 8 6
Cartesian
4.246 0.503 1.255
4.279 0.503 5.353
2.547 -0.503 7.862
2.581 -0.503 11.960
2.556 1.497 0.000
4.313 -1.416 0.002
4.213 -1.416 6.606
0.857 -1.497 6.608
2.614 1.416 6.610
2.514 1.416 13.213
0.872 0.425 1.004
7.734 0.534 1.006
0.792 0.534 5.602
7.653 0.425 5.603
-0.826 -0.425 7.612
6.035 -0.534 7.614
-0.907 -0.534 12.209
5.954 -0.425 12.211
6.127 -0.616 3.303
4.263 2.663 3.304
2.398 -0.616 3.305
4.428 0.616 9.910
2.564 -2.663 9.911
0.700 0.616 9.913
```

## Properties
- total DFT energy (no corrections) (eV/cell) = -192.354
- size of the total moment (μB per formula unit) = 0.0
- crystal system = monoclinic

=====

# 5
Entry from OQMD via LeMat-Bulk: a geometry-optimized Lu4Nb2Si3N3 structure (PBE).

Geometry as POSCAR:
```
Lu4Nb2Si3N3
1.0
4.937 -2.863 0.000
4.937 2.863 0.000
-3.265 0.000 13.394
Lu N Nb Si
8 6 4 6
Cartesian
0.825 0.469 1.352
7.417 0.483 1.353
0.824 0.483 5.344
7.417 0.469 5.345
-0.808 -0.469 8.048
5.785 -0.483 8.050
-0.808 -0.483 12.041
5.784 -0.469 12.042
4.101 -1.457 0.000
2.469 1.432 0.000
5.773 1.457 0.000
2.468 1.457 6.697
0.836 -1.432 6.697
4.141 -1.457 6.697
4.115 0.476 1.096
4.127 0.476 5.601
2.482 -0.476 7.793
2.494 -0.476 12.298
5.390 -0.263 3.341
4.121 1.945 3.348
2.851 -0.263 3.356
3.758 0.263 10.038
2.488 -1.945 10.045
1.219 0.263 10.052
```

## Properties
- total DFT energy (no corrections) (eV/cell) = -184.685
- size of the total moment (μB per formula unit) = 0.0
- crystal system = monoclinic

=====

# 6
Entry from OQMD via LeMat-Bulk: a geometry-optimized Lu2Nb4Sn3N3 structure (PBE).

Geometry as POSCAR:
```
Lu2Nb4Sn3N3
1.0
5.825 0.000 0.000
2.870 5.069 0.000
2.816 1.642 13.706
Lu N Nb Sn
4 6 8 6
Cartesian
4.824 3.374 1.304
4.790 3.354 5.549
6.721 3.357 8.157
6.686 3.337 12.401
2.912 0.000 0.000
5.715 1.741 0.000
2.979 3.328 0.000
5.772 1.773 6.852
2.843 3.355 6.853
5.739 4.937 6.854
7.732 5.003 1.011
1.868 1.675 1.014
7.725 5.089 5.839
1.940 1.626 5.842
9.570 5.085 7.864
3.786 1.622 7.867
9.642 5.036 12.691
3.778 1.708 12.695
3.727 1.431 3.417
3.684 5.290 3.427
7.021 3.351 3.436
4.490 3.359 10.270
7.827 1.420 10.279
7.783 5.280 10.288
```

## Properties
- total DFT energy (no corrections) (eV/cell) = -192.067
- size of the total moment (μB per formula unit) = 0.0
- crystal system = monoclinic

=====

# 7
Entry from OQMD via LeMat-Bulk: a geometry-optimized Lu2Nb4Tl3N3 structure (PBE).

Geometry as POSCAR:
```
Lu2Nb4Tl3N3
1.0
-5.447 -1.561 1.292
-0.945 -4.888 3.000
-1.282 5.164 13.442
Lu N Nb Tl
4 6 8 6
Cartesian
-4.013 -2.800 3.483
-3.758 -0.521 7.250
-3.916 -0.764 10.484
-3.660 1.516 14.251
-3.752 -1.936 1.408
-0.472 -2.444 1.500
-2.640 -4.513 2.885
-2.276 -0.918 8.931
-3.365 1.802 7.367
-5.398 -0.367 8.803
-1.881 -0.787 1.759
-6.123 -5.136 4.650
-1.579 1.764 6.109
-5.901 -2.527 8.971
-1.773 1.242 8.763
-6.095 -3.048 11.625
-1.551 3.851 13.084
-5.793 -0.498 15.975
-1.825 -1.080 4.871
-5.586 -0.405 4.721
-4.237 -3.505 6.510
-3.436 2.220 11.224
-2.088 -0.880 13.013
-5.849 -0.205 12.864
```

## Properties
- total DFT energy (no corrections) (eV/cell) = -179.122
- size of the total moment (μB per formula unit) = 0.0
- crystal system = monoclinic

=====

# 8
Entry from OQMD via LeMat-Bulk: a geometry-optimized Lu2Nb4Zn3N3 structure (PBE).

Geometry as POSCAR:
```
Lu2Nb4Zn3N3
1.0
-3.327 0.179 -4.414
-5.022 -2.303 0.239
-2.443 12.576 5.820
Lu N Nb Zn
4 6 8 6
Cartesian
-3.953 0.619 -1.637
-5.346 3.941 -0.372
-5.446 6.510 2.017
-6.838 9.833 3.282
-1.663 0.090 -2.207
-4.432 -0.639 -3.519
-4.334 5.979 0.048
-3.732 5.136 3.030
-6.457 4.472 1.597
-6.359 11.091 5.164
-0.976 0.979 -0.389
-6.539 -0.439 -3.162
-2.750 5.013 1.127
-8.309 3.603 -1.660
-2.483 6.849 3.306
-8.041 5.439 0.518
-4.252 10.890 4.807
-9.816 9.472 2.034
-3.036 2.201 1.096
-5.520 1.005 1.386
-7.062 1.189 -0.910
-3.729 9.263 2.556
-5.271 9.447 0.259
-7.755 8.251 0.549
```

## Properties
- total DFT energy (no corrections) (eV/cell) = -175.360
- size of the total moment (μB per formula unit) = 0.0
- crystal system = monoclinic

=====

# 9
Entry from OQMD via LeMat-Bulk: a geometry-optimized Lu3NiN2 structure (PBE).

Geometry as POSCAR:
```
Lu3NiN2
1.0
3.363 0.000 0.000
-1.681 2.912 0.000
0.000 0.000 18.636
Lu N Ni
6 4 2
Cartesian
0.000 0.000 0.000
1.681 0.971 2.700
1.681 0.971 6.618
0.000 0.000 9.318
0.000 1.941 12.018
0.000 1.941 15.936
0.000 1.941 1.381
0.000 1.941 7.937
1.681 0.971 10.699
1.681 0.971 17.255
0.000 0.000 4.659
0.000 0.000 13.977
```

## Properties
- total DFT energy (no corrections) (eV/cell) = -86.342
- size of the total moment (μB per formula unit) = 0.0
- crystal system = hexagonal

=====

# 10
Entry from OQMD via LeMat-Bulk: a geometry-optimized Lu4NiPN2 structure (PBE).

Geometry as POSCAR:
```
Lu4NiPN2
1.0
3.452 0.000 0.000
-1.726 2.989 0.000
0.000 0.000 12.889
Lu N Ni P
4 2 1 1
Cartesian
1.726 0.996 1.895
0.000 0.000 4.570
0.000 0.000 8.320
1.726 0.996 10.995
0.000 1.993 3.309
0.000 1.993 9.581
0.000 0.000 0.000
1.726 0.996 6.445
```

## Properties
- total DFT energy (no corrections) (eV/cell) = -55.184
- size of the total moment (μB per formula unit) = 0.8
- crystal system = hexagonal

=====

# 11
Entry from OQMD via LeMat-Bulk: a geometry-optimized Lu2Sc4Ni3N3 structure (PBE).

Geometry as POSCAR:
```
Lu2Sc4Ni3N3
1.0
4.782 -2.758 0.000
4.782 2.758 0.000
-3.278 0.000 13.238
Lu N Ni Sc
4 6 6 8
Cartesian
3.988 -0.460 1.536
3.938 -0.460 5.083
2.349 0.460 8.155
2.299 0.460 11.702
2.391 -1.379 0.000
5.569 -1.362 0.000
3.996 1.362 0.000
3.930 1.362 6.619
0.752 1.379 6.619
2.357 -1.362 6.619
6.314 0.889 3.305
3.963 2.317 3.309
1.612 0.889 3.314
4.675 -0.889 9.924
2.324 -2.317 9.928
-0.027 -0.889 9.933
7.159 -0.456 1.206
0.793 -0.476 1.206
7.132 -0.476 5.413
0.767 -0.456 5.413
5.520 0.456 7.825
-0.846 0.476 7.825
5.493 0.476 12.032
-0.872 0.456 12.032
```

## Properties
- total DFT energy (no corrections) (eV/cell) = -177.047
- size of the total moment (μB per formula unit) = 0.0
- crystal system = monoclinic

=====

# 12
Entry from OQMD via LeMat-Bulk: a geometry-optimized Lu2Ta4Ni3N3 structure (PBE).

Geometry as POSCAR:
```
Lu2Ta4Ni3N3
1.0
1.709 1.144 4.979
-2.910 -1.542 4.263
7.001 -11.301 -2.767
Lu N Ni Ta
4 6 6 8
Cartesian
-0.072 -1.794 3.848
1.610 -4.698 3.892
4.191 -7.002 2.583
5.872 -9.906 2.627
0.613 0.482 4.051
-1.455 -0.771 2.132
-1.814 -0.881 5.192
1.880 -6.467 2.321
4.355 -5.079 1.106
3.920 -5.233 4.154
2.169 -2.490 1.791
3.110 -1.885 4.233
1.596 -2.707 6.295
4.204 -8.993 0.180
2.690 -9.815 2.242
3.631 -9.210 4.684
0.072 -1.281 0.729
-0.698 -1.530 6.874
2.231 -4.965 0.866
1.406 -5.246 7.003
4.395 -6.454 -0.527
3.569 -6.735 5.609
6.498 -10.170 -0.398
5.728 -10.419 5.747
```

## Properties
- total DFT energy (no corrections) (eV/cell) = -215.827
- size of the total moment (μB per formula unit) = 0.0
- crystal system = monoclinic

=====

# 13
Entry from OQMD via LeMat-Bulk: a geometry-optimized Lu4TlNiN2 structure (PBE).

Geometry as POSCAR:
```
Lu4TlNiN2
1.0
3.404 0.000 0.000
-1.702 2.948 0.000
0.000 0.000 14.402
Lu N Ni Tl
4 2 1 1
Cartesian
0.000 0.000 2.604
0.000 1.966 5.295
0.000 1.966 9.107
0.000 0.000 11.798
1.702 0.983 3.764
1.702 0.983 10.638
0.000 0.000 7.201
0.000 1.966 0.000
```

## Properties
- total DFT energy (no corrections) (eV/cell) = -50.678
- size of the total moment (μB per formula unit) = 0.2
- crystal system = hexagonal

=====

# 14
Entry from OQMD via LeMat-Bulk: a geometry-optimized Lu4TlNiN2 structure (PBE).

Geometry as POSCAR:
```
Lu4TlNiN2
1.0
-0.085 0.862 3.296
-1.179 -3.038 -0.997
13.100 -5.682 1.824
Lu N Ni Tl
4 2 1 1
Cartesian
1.288 -1.191 2.107
4.183 -1.815 0.582
8.917 -3.868 1.241
10.913 -5.366 3.447
2.316 -3.096 0.870
9.156 -6.062 1.822
0.000 0.000 0.000
6.101 -3.279 2.777
```

## Properties
- total DFT energy (no corrections) (eV/cell) = -50.685
- size of the total moment (μB per formula unit) = 0.0
- crystal system = hexagonal